Here is a relaxed structure of SrZrTl2Os from Alexandria via LeMat-Bulk. Energies are from PBE.

## Properties
* DFT formation energy: 1.01 eV per atom
* symmetry: P4/mmm (123)
* calculated volume: 151.5 Å³ per cell
* VASP energy: -4.230 eV/atom

a b c (Å): 5.291 5.412 5.291
angles (deg): 90.00 90.00 90.00
Positions (direct):
Sr: 0.000 0.500 0.000
Tl: 0.000 0.000 0.500
Tl: 0.500 0.000 0.000
Os: 0.000 0.000 0.000
Zr: 0.500 0.500 0.500

---

Here is a relaxed structure of SrZrTl2Os from Alexandria via LeMat-Bulk. Energies are from PBE.

## Properties
* DFT formation energy: 2.36 eV per atom
* symmetry: P4/mmm (123)
* calculated volume: 176.1 Å³ per cell
* VASP energy: -2.883 eV/atom

a b c (Å): 5.699 5.423 5.699
angles (deg): 90.00 90.00 90.00
Positions (direct):
Sr: 0.000 0.000 0.000
Tl: 0.000 0.000 0.500
Tl: 0.500 0.000 0.000
Os: 0.500 0.500 0.500
Zr: 0.000 0.500 0.000

---

Here is a relaxed structure of Sr3VOs from Alexandria via LeMat-Bulk. Energies are from PBE.

## Properties
* DFT formation energy: 0.99 eV per atom
* symmetry: Pm-3m (221)
* calculated volume: 193.1 Å³ per cell
* VASP energy: -4.087 eV/atom

a b c (Å): 5.780 5.780 5.780
angles (deg): 90.00 90.00 90.00
Positions (direct):
Sr: 0.000 0.500 0.000
Sr: 0.000 0.000 0.500
Sr: 0.500 0.000 0.000
Os: 0.000 0.000 0.000
V: 0.500 0.500 0.500

---

Here is a relaxed structure of SrV2Os2 from Alexandria via LeMat-Bulk. Energies are from PBE.

## Properties
* DFT formation energy: 0.27 eV per atom
* symmetry: P4/mbm (127)
* calculated volume: 172.3 Å³ per cell
* VASP energy: -8.204 eV/atom

a b c (Å): 7.782 7.782 2.845
angles (deg): 90.00 90.00 90.00
Positions (direct):
Sr: 0.000 0.000 0.000
Sr: 0.500 0.500 0.000
Os: 0.358 0.858 0.000
Os: 0.858 0.642 0.000
Os: 0.642 0.142 0.000
Os: 0.142 0.358 0.000
V: 0.139 0.639 0.500
V: 0.639 0.861 0.500
V: 0.861 0.361 0.500
V: 0.361 0.139 0.500

---

Question: Which value of DFT formation energy does entry 2 give?
Answer: 2.36 eV per atom